No. 1
Ac8AsIr3Br4 PBE-GGA optimized geometry; VASP energy = -90.140 eV per formula unit
1.0
8.902 0.000 0.000
0.000 9.624 0.507
-4.451 -4.454 6.292
Ac Br Ir As
8 4 3 1
direct
0.240 0.696 0.480
0.760 0.303 0.043
0.284 0.303 0.043
0.760 0.304 0.520
0.240 0.697 0.957
0.732 0.694 0.463
0.716 0.697 0.957
0.268 0.306 0.537
0.500 0.000 0.500
0.000 0.000 0.000
0.000 0.000 0.500
0.500 0.000 0.000
0.000 0.500 0.500
0.500 0.500 0.000
0.500 0.500 0.500
0.000 0.500 0.000

No. 2
AcLaAsBr PBE-GGA optimized geometry; VASP energy = -20.443 eV per formula unit
1.0
-2.831 -0.579 4.560
-5.321 -0.887 -0.220
-1.988 -4.835 1.347
La As Br Ac
1 1 1 1
direct
0.500 0.500 0.500
0.250 0.250 0.250
0.750 0.750 0.750
0.000 0.000 0.000